Here is crystalline VCdGaF2 at its relaxed geometry from Alexandria via LeMat-Bulk. Energies are from PBE+U.

```
VCdGaF2
1.0
4.114 0.000 0.000
0.000 5.753 0.000
0.000 0.000 4.114
F V Ga Cd
2 1 1 1
direct
0.000 0.000 0.500
0.500 0.000 0.000
0.500 0.500 0.500
0.000 0.000 0.000
0.000 0.500 0.000
```

Results
Raw total energy: -3.653 eV/atom
D(E_F): 0.393 states/eV per atom
Symmetry: No. 123